SrMn2Ru2O7: optimized geometry, GGA+U.

a = 4.344 Å, b = 3.855 Å, c = 9.376 Å
α = 101.86°, β = 103.39°, γ = 90.00°
Positions (direct):
Sr  0.000  0.000  0.000
Mn  0.220  0.720  0.440
Mn  0.780  0.280  0.560
Ru  0.392  0.392  0.783
Ru  0.608  0.608  0.217
O  0.390  0.890  0.779
O  0.725  0.725  0.451
O  0.103  0.603  0.205
O  0.610  0.110  0.221
O  0.275  0.275  0.549
O  0.897  0.397  0.795
O  0.500  0.500  0.000

DFT total energy in eV per atom: -7.247
SG: No. 71
Size of the total moment in μB/cell: 6.92